No. 1
Compound: Be4TcMo
Source: Alexandria
Functional: PBE-GGA
Structure: relaxed

Properties
Symmetry = F-43m
ΔH_f (0 K) = -0.39 eV per atom

Lattice parameters (Å, degrees): 4.4068 4.4068 4.4068 60.00 60.00 60.00
Closest atoms and distances in Å follow each position.
Sites, in units of the cell vectors:
Be1 0.3754 0.3754 0.3754  6 Be 2.20-2.21
Be2 0.3754 0.8737 0.3754  6 Be 2.20-2.21
Be3 0.3754 0.3754 0.8737  6 Be 2.20-2.21
Be4 0.8737 0.3754 0.3754  6 Be 2.20-2.21
Mo1 0.7500 0.7500 0.7500  12 Be 2.58, 4 Tc 2.70
Tc1 0.0000 0.0000 0.0000  12 Be 2.58, 4 Mo 2.70

No. 2
Compound: NaMn2Mo
Source: Alexandria
Functional: PBE-GGA
Structure: relaxed

Properties
Symmetry = I-42d
ΔH_f (0 K) = 1.46 eV per atom
Excess energy over the best structure of this formula in the dataset = 692 meV/atom

Lattice parameters (Å, degrees): 3.9034 3.9034 9.0873 77.60 77.60 90.00
Closest atoms and distances in Å follow each position.
Sites, in units of the cell vectors:
Na1 0.5000 0.5000 0.0000  4 Mn 2.76, 4 Mo 2.76
Na2 0.2500 0.7500 0.5000  4 Mn 2.76, 4 Mo 2.76
Mo1 0.0000 0.0000 0.0000  4 Mn 2.44
Mo2 0.7500 0.2500 0.5000  4 Mn 2.44
Mn1 0.7337 0.1250 0.2500  2 Mn 2.24, 2 Mo 2.44
Mn2 0.0163 0.6250 0.2500  2 Mn 2.24, 2 Mo 2.44
Mn3 0.3750 0.2663 0.7500  2 Mn 2.24, 2 Mo 2.44
Mn4 0.8750 0.9837 0.7500  2 Mn 2.24, 2 Mo 2.44

No. 3
Compound: Ce2Y3HoTe6
Source: Alexandria
Functional: PBE-GGA
Structure: relaxed

Properties
Formation energy (no corrections) = -15.9 eV/f.u.
Symmetry = C2/m

Lattice parameters (Å, degrees): 4.3681 8.8791 9.8661 103.68 102.79 90.00
Closest atoms and distances in Å follow each position.
Sites, in units of the cell vectors:
Ce1 0.8319 0.6632 0.6639  6 Te 3.15-3.19
Ce2 0.1681 0.3368 0.3361  6 Te 3.15-3.19
Y1 0.5000 0.5000 0.0000  6 Te 3.05-3.13
Y2 0.8310 0.1657 0.6621  6 Te 3.06-3.10
Y3 0.1690 0.8343 0.3379  6 Te 3.06-3.10
Ho1 0.5000 0.0000 0.0000  6 Te 3.08-3.10
Te1 0.3352 0.9236 0.6705  1 Ho 3.08, 3 Y 3.08-3.10, 2 Ce 3.17
Te2 0.6635 0.5901 0.3271  3 Y 3.05-3.06, 3 Ce 3.15
Te3 0.6648 0.0764 0.3295  1 Ho 3.08, 3 Y 3.08-3.10, 2 Ce 3.17
Te4 0.9972 0.2464 0.9945  2 Ho 3.10, 3 Y 3.10-3.13, 1 Ce 3.19
Te5 0.0028 0.7536 0.0055  2 Ho 3.10, 3 Y 3.10-3.13, 1 Ce 3.19
Te6 0.3365 0.4099 0.6729  3 Y 3.05-3.06, 3 Ce 3.15

No. 4
Compound: PmTmCl6
Source: Alexandria
Functional: PBE-GGA
Structure: relaxed

Properties
Formation energy (no corrections) = -18.0 eV/f.u.
Symmetry = R-3
Excess energy over the best structure of this formula in the dataset = 3 meV/atom

Lattice parameters (Å, degrees): 6.7748 6.7744 7.3013 62.35 62.34 60.01
Closest atoms and distances in Å follow each position.
Sites, in units of the cell vectors:
Pm1 0.5000 0.5000 0.5000  6 Cl 2.74
Tm1 0.0000 0.0000 0.0000  6 Cl 2.62
Cl1 0.0978 0.3890 0.7556  1 Tm 2.62, 1 Pm 2.74
Cl2 0.7574 0.0979 0.7557  1 Tm 2.62, 1 Pm 2.74
Cl3 0.6110 0.2423 0.2445  1 Tm 2.62, 1 Pm 2.74
Cl4 0.2426 0.9021 0.2443  1 Tm 2.62, 1 Pm 2.74
Cl5 0.9022 0.6110 0.2444  1 Tm 2.62, 1 Pm 2.74
Cl6 0.3890 0.7577 0.7555  1 Tm 2.62, 1 Pm 2.74

No. 5
Compound: Y2Mo
Source: Alexandria
Functional: PBE-GGA
Structure: relaxed

Properties
Symmetry = I4/mcm
ΔH_f (0 K) = 0.23 eV per atom
Excess energy over the best structure of this formula in the dataset = 85 meV/atom

Lattice parameters (Å, degrees): 5.9497 5.9497 5.9497 103.04 103.04 123.27
Closest atoms and distances in Å follow each position.
Sites, in units of the cell vectors:
Y1 0.3314 0.8314 0.1627  4 Mo 3.09, 2 Y 3.30
Y2 0.8314 0.6686 0.5000  4 Mo 3.09, 2 Y 3.30
Y3 0.1686 0.3314 0.5000  4 Mo 3.09, 2 Y 3.30
Y4 0.6686 0.1686 0.8373  4 Mo 3.09, 2 Y 3.30
Mo1 0.7500 0.7500 0.0000  2 Mo 2.83, 8 Y 3.09
Mo2 0.2500 0.2500 0.0000  2 Mo 2.83, 8 Y 3.09

No. 6
Compound: TlSi2Au4
Source: Alexandria
Functional: PBE-GGA
Structure: relaxed

Properties
Formation energy (no corrections) = 0.0 eV/f.u.
Symmetry = Cmmm

Lattice parameters (Å, degrees): 4.7295 4.6118 6.7580 109.95 90.00 90.00
Closest atoms and distances in Å follow each position.
Sites, in units of the cell vectors:
Tl1 0.0000 0.0000 0.0000  8 Au 3.15-3.25, 8 Si 3.52
Si1 0.5000 0.5962 0.1924  1 Si 2.44, 4 Au 2.51-2.54
Si2 0.5000 0.4038 0.8076  1 Si 2.44, 4 Au 2.51-2.54
Au1 0.5000 0.8249 0.6498  2 Si 2.51
Au2 0.0000 0.6684 0.3367  2 Si 2.54
Au3 0.5000 0.1751 0.3502  2 Si 2.51
Au4 0.0000 0.3316 0.6633  2 Si 2.54

No. 7
Compound: Ac3Si4Pt
Source: Alexandria
Functional: PBE-GGA
Structure: relaxed

Properties
Formation energy (no corrections) = -5.1 eV/f.u.
Symmetry = C2/m

Lattice parameters (Å, degrees): 4.3799 4.5250 10.5357 100.14 102.00 90.00
Closest atoms and distances in Å follow each position.
Sites, in units of the cell vectors:
Ac1 0.0000 0.5000 0.0000  4 Pt 3.15, 4 Si 3.16
Ac2 0.8375 0.0556 0.6749  10 Si 3.19-3.40
Ac3 0.1625 0.9444 0.3251  10 Si 3.19-3.40
Si1 0.6044 0.3980 0.2089  1 Si 2.37, 1 Pt 2.55
Si2 0.3956 0.6020 0.7911  1 Si 2.37, 1 Pt 2.55
Si3 0.2784 0.5163 0.5569  3 Si 2.37-2.48
Si4 0.7216 0.4837 0.4431  3 Si 2.37-2.48
Pt1 0.5000 0.0000 0.0000  2 Si 2.55

No. 8
Compound: SrZrAu2
Source: Alexandria
Functional: PBE-GGA
Structure: relaxed

Properties
Symmetry = Amm2
ΔH_f (0 K) = -0.44 eV per atom
Excess energy over the best structure of this formula in the dataset = 104 meV/atom

Lattice parameters (Å, degrees): 5.9339 5.9339 4.7500 90.02 90.02 35.27
Closest atoms and distances in Å follow each position.
Sites, in units of the cell vectors:
Au1 0.9565 0.9565 0.1249  3 Zr 3.03-3.22, 4 Sr 3.06, 2 Au 3.08
Au2 0.7827 0.7827 0.6249  3 Sr 2.98-3.23, 4 Zr 3.01-3.02, 2 Au 3.08
Sr1 0.5195 0.5195 0.6250  7 Au 2.98-3.23
Zr1 0.2413 0.2413 0.1252  7 Au 3.01-3.22

No. 9
Compound: LiLaTe2
Source: Alexandria
Functional: PBE-GGA
Structure: relaxed

Properties
Formation energy (no corrections) = -5.2 eV/f.u.
Symmetry = P4/mmm

Lattice parameters (Å, degrees): 4.5735 4.5735 6.2546 90.00 90.00 90.00
Closest atoms and distances in Å follow each position.
Sites, in units of the cell vectors:
Te1 0.5000 0.5000 0.5000  2 La 3.13, 4 Li 3.23
Te2 0.0000 0.0000 0.0000  2 Li 3.13, 4 La 3.23
Li1 0.0000 0.0000 0.5000  6 Te 3.13-3.23
La1 0.5000 0.5000 0.0000  6 Te 3.13-3.23

No. 10
Compound: SbTe2OsO
Source: Alexandria
Functional: PBE-GGA
Structure: relaxed

Properties
Formation energy (no corrections) = 5.4 eV/f.u.
Symmetry = P4/mmm
Excess energy over the best structure of this formula in the dataset = 314 meV/atom

Lattice parameters (Å, degrees): 5.1756 5.1756 5.1545 90.00 90.00 90.00
Closest atoms and distances in Å follow each position.
Sites, in units of the cell vectors:
Sb1 0.0000 0.0000 0.5000  2 Os 2.58
Te1 0.0000 0.5000 0.0000  2 Os 2.59
Te2 0.5000 0.0000 0.0000  2 Os 2.59
Os1 0.0000 0.0000 0.0000  2 Sb 2.58, 4 Te 2.59
O1 0.5000 0.5000 0.5000  8 Te 3.65, 4 Sb 3.66

No. 11
Compound: Pr2NdTl
Source: Alexandria
Functional: PBE-GGA
Structure: relaxed

Properties
Symmetry = R3m
ΔH_f (0 K) = -0.10 eV per atom
Excess energy over the best structure of this formula in the dataset = 111 meV/atom

Lattice parameters (Å, degrees): 3.7887 3.7887 11.3254 80.37 80.37 60.00
Closest atoms and distances in Å follow each position.
Sites, in units of the cell vectors:
Pr1 0.0772 0.0772 0.7685  3 Tl 3.38, 3 Nd 3.70
Pr2 0.2563 0.2563 0.2310  3 Tl 3.37, 3 Nd 3.71
Nd1 0.4999 0.4999 0.5002  6 Pr 3.70-3.71, 6 Nd 3.79
Tl1 0.6666 0.6666 0.0002  6 Pr 3.37-3.38

No. 12
Compound: Cu2Sb2Pt
Source: Alexandria
Functional: PBE-GGA
Structure: relaxed

Properties
Formation energy (no corrections) = 0.3 eV/f.u.
Symmetry = P4/mbm
Excess energy over the best structure of this formula in the dataset = 0 meV/atom

Lattice parameters (Å, degrees): 6.8507 6.8507 3.8308 90.00 90.00 90.00
Closest atoms and distances in Å follow each position.
Sites, in units of the cell vectors:
Sb1 0.1755 0.6755 0.5000  6 Cu 2.69-2.85
Sb2 0.6755 0.8245 0.5000  6 Cu 2.69-2.85
Sb3 0.8245 0.3245 0.5000  6 Cu 2.69-2.85
Sb4 0.3245 0.1755 0.5000  6 Cu 2.69-2.85
Cu1 0.3711 0.8711 0.0000  1 Cu 2.50, 2 Pt 2.69, 2 Sb 2.69
Cu2 0.8711 0.6289 0.0000  1 Cu 2.50, 2 Pt 2.69, 2 Sb 2.69
Cu3 0.6289 0.1289 0.0000  1 Cu 2.50, 2 Pt 2.69, 2 Sb 2.69
Cu4 0.1289 0.3711 0.0000  1 Cu 2.50, 2 Pt 2.69, 2 Sb 2.69
Pt1 0.0000 0.0000 0.0000  4 Cu 2.69
Pt2 0.5000 0.5000 0.0000  4 Cu 2.69

Per-record DOS(E_F), states/eV/f.u.: 1.4; 7.5; 17.4; 0.0; 3.7; 1.8; 3.0; 3.8; 0.0; 9.0; 5.7; 2.5